[1]
CrRe2Si, relaxed, DFT PBE; formation energy from raw total energies = 7.3 kJ/mol of atoms; DFT total energy = -9.910 eV/atom
1.0
4.1042 0.0000 0.0000
0.0000 2.7132 -0.0164
0.0000 0.7411 4.9121
Re Si Cr
2 1 1
direct
0.0000 0.0210 0.9999
0.0000 0.4790 0.5001
0.5000 0.2500 0.2500
0.5000 0.7500 0.7500

***

[2]
Hf2TaIr2, relaxed, DFT PBE; energy above the most stable polymorph in this dataset = 175 meV per atom; formation energy = -0.37 eV per atom; DFT total energy = -10.271 eV/atom
1.0
7.8300 0.0000 0.0000
0.0000 7.8300 0.0000
0.0000 0.0000 2.9840
Ta Hf Ir
2 4 4
direct
0.0000 0.0000 0.0000
0.5000 0.5000 0.0000
0.3510 0.8510 0.0000
0.8510 0.6490 0.0000
0.6490 0.1490 0.0000
0.1490 0.3510 0.0000
0.8487 0.3487 0.5000
0.6513 0.8487 0.5000
0.3487 0.1513 0.5000
0.1513 0.6513 0.5000

***

[3]
Rb3LiPa3S8, relaxed, DFT PBE; formation energy from raw total energies = -144.6 kJ/mol of atoms; DFT total energy = -5.920 eV/atom
1.0
8.0995 0.0000 0.0001
-4.0498 7.0129 -0.0256
0.0000 -4.6474 7.7865
Pa Li S Rb
3 1 8 3
direct
0.5000 0.5000 0.5000
0.0000 0.5000 0.5000
0.5000 0.0000 0.5000
0.0000 0.0000 0.5000
0.7658 0.0491 0.3150
0.2342 0.9509 0.6850
0.2832 0.0491 0.3150
0.7660 0.5320 0.3151
0.2340 0.4680 0.6849
0.7168 0.9509 0.6850
0.2685 0.5371 0.3057
0.7315 0.4629 0.6943
0.0000 0.0000 0.0000
0.0000 0.5000 0.0000
0.5000 0.5000 0.0000

***

[4]
Li5ScPb6, relaxed, DFT PBE; formation energy = -0.29 eV per atom; DFT total energy = -3.464 eV/atom
1.0
4.7947 -0.0286 1.5831
0.0385 7.1274 0.0128
-0.0467 -0.0142 8.0582
Pb Sc Li
6 1 5
direct
0.1678 0.7495 0.6616
0.5000 0.7380 0.0000
0.8322 0.2505 0.3384
0.8322 0.7495 0.3384
0.5000 0.2620 0.0000
0.1678 0.2505 0.6616
0.0000 0.0000 0.0000
0.0000 0.5000 0.0000
0.3267 0.5000 0.3473
0.3397 0.0000 0.3246
0.6733 0.5000 0.6527
0.6603 0.0000 0.6754